Version i
The following is a PBE calculation of CaMnTe2 after structural relaxation, from Alexandria via LeMat-Bulk.

abc: 7.7139 7.7139 7.7139
angles: 150.39 149.39 43.11
Closest atoms and distances in Å follow each position.
Fractional positions:
1 Ca 0.4563 0.4563 0.0000  6 Te 3.16-3.21
2 Te 0.0543 0.0543 0.0000  2 Mn 2.94, 4 Ca 3.16
3 Te 0.7831 0.2831 0.5000  4 Mn 3.04, 2 Ca 3.21
4 Mn 0.2063 0.7063 0.5000  6 Te 2.94-3.04

## Properties
spin magnetization: 5.01 μB/cell
symmetry: No. 44

***

Version ii
The following is a PBE calculation of CaMnTe2 after structural relaxation, from Alexandria via LeMat-Bulk.

abc: 4.2893 4.2893 7.1692
angles: 90.00 90.00 60.00
Closest atoms and distances in Å follow each position.
Fractional positions:
1 Ca 0.6248 0.6248 0.2500  6 Te 3.18
2 Te 0.9583 0.9583 0.9722  3 Mn 2.94-2.95, 3 Ca 3.18
3 Te 0.2916 0.2916 0.5277  3 Mn 2.94-2.95, 3 Ca 3.18
4 Mn 0.6252 0.6252 0.7500  6 Te 2.94-2.95

## Properties
spin magnetization: 5.00 μB/cell
symmetry: No. 164

***

Tell me which of them is the most stable. Sure, it is version ii.

***

Version i
The following is a PBE calculation of BaLiRh after structural relaxation, from Alexandria via LeMat-Bulk.

abc: 4.8875 4.8875 4.8875
angles: 60.00 60.00 60.00
Closest atoms and distances in Å follow each position.
Fractional positions:
1 Ba 0.0000 0.0000 0.0000  4 Rh 2.99
2 Li 0.5000 0.5000 0.5000  4 Rh 2.99
3 Rh 0.7500 0.7500 0.7500  4 Li 2.99, 4 Ba 2.99

## Properties
spin magnetization: 0.00 μB/cell
symmetry: No. 216

***

Version ii
The following is a PBE calculation of BaLiRh after structural relaxation, from Alexandria via LeMat-Bulk.

abc: 4.2706 6.4130 6.7998
angles: 117.89 108.32 90.00
Closest atoms and distances in Å follow each position.
Fractional positions:
1 Ba 0.0289 0.9006 0.6864  4 Rh 3.03-3.33
2 Ba 0.4155 0.2890 0.4609  4 Rh 3.03-3.33
3 Li 0.7222 0.4085 0.0736  1 Li 2.39
4 Li 0.7223 0.7811 0.0737  1 Li 2.39
5 Rh 0.1066 0.4786 0.8435  1 Rh 2.59, 4 Li 2.76-2.77
6 Rh 0.3379 0.7110 0.3038  1 Rh 2.59, 4 Li 2.76-2.77

## Properties
spin magnetization: 0.00 μB/cell
symmetry: No. 12

***

Tell me which of them is the most stable. Sure, it is version ii.

***

Version i
The following is a PBE calculation of Re2SeCl after structural relaxation, from Alexandria via LeMat-Bulk.

abc: 3.0571 3.0571 8.4639
angles: 90.00 90.00 123.35
Closest atoms and distances in Å follow each position.
Fractional positions:
1 Cl 0.5000 0.5000 0.7500  4 Re 2.66, 2 Cl 2.90
2 Re 0.0000 0.0000 0.0129  2 Se 2.48, 2 Cl 2.66
3 Re 0.0000 0.0000 0.4871  2 Se 2.48, 2 Cl 2.66
4 Se 0.5000 0.5000 0.2500  4 Re 2.48

## Properties
spin magnetization: 0.00 μB/cell
symmetry: No. 65

***

Version ii
The following is a PBE calculation of Re2SeCl after structural relaxation, from Alexandria via LeMat-Bulk.

abc: 4.2987 2.6707 6.5225
angles: 113.75 90.00 90.00
Closest atoms and distances in Å follow each position.
Fractional positions:
1 Cl 0.5000 0.7500 0.7500  4 Re 2.51, 2 Cl 2.67
2 Re 0.0000 0.9674 0.9656  2 Cl 2.51, 3 Re 2.57-2.67, 2 Se 2.74
3 Re 0.0000 0.5326 0.5344  2 Cl 2.51, 3 Re 2.57-2.67, 2 Se 2.74
4 Se 0.5000 0.2500 0.2500  2 Se 2.67, 4 Re 2.74, 2 Cl 2.99

## Properties
spin magnetization: 0.00 μB/cell
symmetry: No. 10

***

Tell me which of them is the most stable. Sure, it is version ii.

***

Version i
The following is a PBE calculation of K2AlAs after structural relaxation, from Alexandria via LeMat-Bulk.

abc: 11.5058 11.5058 11.5058
angles: 17.44 17.44 17.44
Closest atoms and distances in Å follow each position.
Fractional positions:
1 As 0.7500 0.7500 0.7500  6 K 3.30, 6 As 3.49
2 K 0.0064 0.0064 0.0064  3 As 3.30, 6 K 3.49, 3 Al 3.65
3 K 0.4936 0.4936 0.4936  3 As 3.30, 6 K 3.49, 3 Al 3.65
4 Al 0.2500 0.2500 0.2500  6 Al 3.49, 6 K 3.65

## Properties
spin magnetization: 0.27 μB/cell
symmetry: No. 166

***

Version ii
The following is a PBE calculation of K2AlAs after structural relaxation, from Alexandria via LeMat-Bulk.

abc: 6.2237 6.2237 6.2237
angles: 136.88 136.90 62.61
Closest atoms and distances in Å follow each position.
Fractional positions:
1 As 0.7500 0.2500 0.5000  4 Al 3.23, 8 K 3.51
2 K 0.9999 0.9999 0.0000  4 K 3.23, 4 Al 3.51, 4 As 3.51
3 K 0.5001 0.5001 0.0000  4 K 3.23, 4 Al 3.51, 4 As 3.51
4 Al 0.2500 0.7500 0.5000  4 As 3.23, 8 K 3.51

## Properties
spin magnetization: 0.99 μB/cell
symmetry: No. 139

***

Tell me which of them is the most stable. Sure, it is version ii.

***

Version i
The following is a PBE calculation of DyScBr after structural relaxation, from Alexandria via LeMat-Bulk.

abc: 3.6043 3.6043 6.9818
angles: 90.00 90.00 120.00
Closest atoms and distances in Å follow each position.
Fractional positions:
1 Sc 0.6667 0.3333 0.3513  3 Br 2.97, 3 Dy 3.25
2 Br 0.3333 0.6667 0.6558  3 Sc 2.97, 3 Dy 3.14
3 Dy 0.0000 0.0000 0.9928  3 Br 3.14, 3 Sc 3.25

## Properties
spin magnetization: 0.03 μB/cell
symmetry: No. 156

***

Version ii
The following is a PBE calculation of DyScBr after structural relaxation, from Alexandria via LeMat-Bulk.

abc: 3.5036 5.5880 12.1379
angles: 117.41 125.24 90.00
Closest atoms and distances in Å follow each position.
Fractional positions:
1 Sc 0.3477 0.0487 0.7987  4 Br 2.86-2.98
2 Sc 0.6523 0.9513 0.2013  4 Br 2.86-2.98
3 Dy 0.8614 0.3058 0.5558  1 Br 3.03, 1 Sc 3.39
4 Dy 0.1386 0.6942 0.4442  1 Br 3.03, 1 Sc 3.39
5 Br 0.6010 0.6755 0.9255  4 Sc 2.86-2.98, 1 Dy 3.03
6 Br 0.3990 0.3245 0.0745  4 Sc 2.86-2.98, 1 Dy 3.03

## Properties
spin magnetization: 0.21 μB/cell
symmetry: No. 59

***

Tell me which of them is the most stable. Sure, it is version i.